[1]
DFT (meta-GGA SCAN) results for a PBEsol-optimized structure of YHCO4.

a b c (Å): 4.784 6.938 8.436
angles (deg): 90.00 90.00 90.00
Element x y z (fractional)
C: 0.507 0.453 0.169
C: 0.993 0.547 0.669
C: 0.493 0.953 0.331
C: 0.007 0.047 0.831
H: 0.864 0.757 0.032
H: 0.636 0.243 0.532
H: 0.136 0.257 0.468
H: 0.364 0.743 0.968
O: 0.297 0.388 0.089
O: 0.203 0.612 0.589
O: 0.703 0.888 0.411
O: 0.797 0.112 0.911
O: 0.473 0.557 0.293
O: 0.027 0.443 0.793
O: 0.527 0.057 0.207
O: 0.973 0.943 0.707
O: 0.758 0.420 0.118
O: 0.742 0.580 0.618
O: 0.242 0.920 0.382
O: 0.258 0.080 0.882
O: 0.000 0.799 0.113
O: 0.500 0.201 0.613
O: 0.000 0.299 0.387
O: 0.500 0.701 0.887
Y: 0.020 0.120 0.165
Y: 0.480 0.880 0.665
Y: 0.980 0.620 0.335
Y: 0.520 0.380 0.835

Values from the calculation:
The calculation puts the total moment at 0.0 μB/f.u. The total energy is -11.846 eV per atom.

[2]
DFT (meta-GGA SCAN) results for a PBEsol-optimized structure of Mg4CdAg5.

a b c (Å): 3.294 3.294 16.348
angles (deg): 90.00 90.00 90.00
Element x y z (fractional)
Mg: 0.500 0.500 0.201
Mg: 0.500 0.500 0.400
Mg: 0.500 0.500 0.600
Mg: 0.500 0.500 0.799
Cd: 0.500 0.500 0.000
Ag: 0.000 0.000 0.896
Ag: 0.000 0.000 0.104
Ag: 0.000 0.000 0.300
Ag: 0.000 0.000 0.500
Ag: 0.000 0.000 0.700

Values from the calculation:
The calculation puts the total moment at 0.0 μB/f.u. As for the formation energy: -0.2361 eV per atom. The total energy is -20.951 eV per atom.

[3]
DFT (meta-GGA SCAN) results for a PBEsol-optimized structure of BaFeSi4O10.

a b c (Å): 7.601 7.601 7.940
angles (deg): 90.00 90.00 90.00
Site moments in Bohr magnetons follow the coordinates.
Element x y z (fractional)
Ba: 0.500 0.500 0.000  0.00
Ba: 0.000 0.000 0.000  0.00
Fe: 0.000 0.500 0.828  3.68
Fe: 0.500 0.000 0.172  3.68
Si: 0.791 0.291 0.304  0.01
Si: 0.709 0.209 0.696  0.01
Si: 0.209 0.709 0.304  0.01
Si: 0.209 0.291 0.304  0.01
Si: 0.291 0.209 0.696  0.01
Si: 0.709 0.791 0.696  0.01
Si: 0.291 0.791 0.696  0.01
Si: 0.791 0.709 0.304  0.01
O: 0.750 0.750 0.500  0.00
O: 0.250 0.750 0.500  0.00
O: 0.250 0.250 0.500  0.00
O: 0.750 0.250 0.500  0.00
O: 0.318 0.818 0.168  0.06
O: 0.182 0.318 0.832  0.06
O: 0.318 0.182 0.168  0.06
O: 0.818 0.682 0.832  0.06
O: 0.682 0.818 0.168  0.06
O: 0.682 0.182 0.168  0.06
O: 0.818 0.318 0.832  0.06
O: 0.182 0.682 0.832  0.06
O: 0.000 0.749 0.269  0.00
O: 0.251 0.000 0.731  0.00
O: 0.751 0.500 0.269  0.00
O: 0.500 0.751 0.731  0.00
O: 0.000 0.251 0.269  0.00
O: 0.249 0.500 0.269  0.00
O: 0.500 0.249 0.731  0.00
O: 0.749 0.000 0.731  0.00

Values from the calculation:
The uncorrected formation energy comes out at -2.900 eV per atom. The calculation puts the total moment at 4.0 μB/f.u. The total energy is -12.904 eV per atom. Its energy above the most stable polymorph in this dataset is 0.007 eV per atom.

[4]
DFT (meta-GGA SCAN) results for a PBEsol-optimized structure of Hf8FeTe6.

a b c (Å): 3.672 7.560 25.723
angles (deg): 90.00 90.00 90.00
Element x y z (fractional)
Hf: 0.500 0.736 0.566
Hf: 0.000 0.264 0.934
Hf: 0.500 0.072 0.500
Hf: 0.000 0.061 0.199
Hf: 0.000 0.264 0.066
Hf: 0.500 0.939 0.301
Hf: 0.500 0.945 0.099
Hf: 0.000 0.055 0.401
Hf: 0.000 0.055 0.599
Hf: 0.500 0.939 0.699
Hf: 0.000 0.455 0.500
Hf: 0.000 0.928 0.000
Hf: 0.500 0.545 0.000
Hf: 0.000 0.061 0.801
Hf: 0.500 0.945 0.901
Hf: 0.500 0.736 0.434
Fe: 0.000 0.804 0.500
Fe: 0.500 0.196 0.000
Te: 0.000 0.696 0.655
Te: 0.000 0.652 0.917
Te: 0.500 0.348 0.583
Te: 0.000 0.652 0.083
Te: 0.500 0.304 0.845
Te: 0.500 0.304 0.155
Te: 0.500 0.776 0.798
Te: 0.000 0.224 0.298
Te: 0.000 0.224 0.702
Te: 0.500 0.348 0.417
Te: 0.500 0.776 0.202
Te: 0.000 0.696 0.345

Values from the calculation:
The uncorrected formation energy comes out at -0.635 eV per atom. The calculation puts the total moment at 0.0 μB/f.u. The total energy is -50.169 eV per atom.